1.
# BaYCuAgO5

Crystalline BaYCuAgO5 at its relaxed geometry (PBE, Alexandria via LeMat-Bulk).

```
9
Lattice="-0.663 3.684 1.380 -3.920 -0.736 0.082 0.662 -2.693 7.506" Properties=species:S:1:pos:R:3 pbc="T T T"
Ba -1.633 -1.204 8.194
Y -1.990 0.246 4.154
Cu 0.157 -0.640 1.785
Ag 0.460 -1.869 5.210
O 0.085 0.147 5.414
O -1.543 -2.063 4.765
O -0.146 1.087 2.793
O -1.775 -1.123 2.144
O 0.653 -2.658 7.407
```

SG: P4mm
formation energy without anion corrections: -1.664 eV/atom
DOS at the Fermi energy: 3.25 states/eV/cell

=====

2.
# Ba2Cu2AgPd5

Crystalline Ba2Cu2AgPd5 at its relaxed geometry (PBE, Alexandria via LeMat-Bulk).

```
20
Lattice="3.988 0.000 0.000 0.000 9.986 0.000 0.000 0.000 9.986" Properties=species:S:1:pos:R:3 pbc="T T T"
Ba 0.000 6.817 1.824
Ba 0.000 3.170 8.163
Ba 0.000 1.824 3.170
Ba 0.000 8.163 6.817
Cu 0.000 1.146 6.139
Cu 0.000 8.840 3.847
Cu 0.000 6.139 8.840
Cu 0.000 3.847 1.146
Ag 0.000 0.000 0.000
Ag 0.000 4.993 4.993
Pd 1.994 2.109 0.599
Pd 1.994 7.877 9.387
Pd 1.994 0.599 7.877
Pd 1.994 7.103 4.394
Pd 1.994 9.387 2.109
Pd 1.994 2.884 5.593
Pd 1.994 5.593 7.103
Pd 1.994 4.394 2.884
Pd 1.994 4.993 0.000
Pd 1.994 0.000 4.993
```

ΔE_f: -0.27 eV per atom
SG: P4/mbm
DOS at the Fermi energy: 3.63 states/eV/cell

=====

3.
# Ba2CuAgPt

Crystalline Ba2CuAgPt at its relaxed geometry (PBE, Alexandria via LeMat-Bulk).

```
5
Lattice="6.077 0.000 0.000 0.000 6.077 0.000 0.000 0.000 4.822" Properties=species:S:1:pos:R:3 pbc="T T T"
Ag 3.039 3.039 2.411
Cu 0.000 0.000 2.411
Ba 0.000 3.039 0.000
Ba 3.039 0.000 0.000
Pt 0.000 0.000 0.000
```

ΔE_f: -0.22 eV per atom
SG: P4/mmm
DOS at the Fermi energy: 2.00 states/eV/cell

=====

4.
# Ba2CuAgRh

Crystalline Ba2CuAgRh at its relaxed geometry (PBE, Alexandria via LeMat-Bulk).

```
5
Lattice="-3.926 -4.240 1.210 4.236 -4.077 -0.543 0.995 0.412 4.675" Properties=species:S:1:pos:R:3 pbc="T T T"
Cu 0.498 0.206 2.337
Rh 0.000 0.000 0.000
Ba 2.118 -2.038 -0.271
Ba -1.963 -2.120 0.605
Ag 0.653 -3.952 2.671
```

ΔE_f: 0.03 eV per atom
SG: P4/mmm
DOS at the Fermi energy: 2.38 states/eV/cell

=====

5.
# BaCuAgS2

Crystalline BaCuAgS2 at its relaxed geometry (PBE, Alexandria via LeMat-Bulk).

```
10
Lattice="-1.424 -2.691 -4.599 2.959 -4.827 1.908 -7.151 0.154 2.124" Properties=species:S:1:pos:R:3 pbc="T T T"
Ba -1.719 -4.229 1.321
Ba -3.897 -3.135 -1.889
Cu 0.000 0.000 0.000
Cu 1.479 -2.414 0.954
Ag 1.507 -4.966 -0.869
Ag 0.028 -2.552 -1.823
S -3.839 -6.143 -0.234
S -1.033 -5.025 -1.757
S -4.583 -2.339 1.189
S -1.777 -1.221 -0.334
```

SG: Cmme
formation energy without anion corrections: -0.880 eV/atom

=====

6.
# Ba2CuAg3Sb4

Crystalline Ba2CuAg3Sb4 at its relaxed geometry (PBE, Alexandria via LeMat-Bulk).

```
10
Lattice="-1.659 -2.820 -3.591 1.620 -3.935 2.342 -10.121 -0.944 5.416" Properties=species:S:1:pos:R:3 pbc="T T T"
Ba -3.494 -1.658 -0.369
Ba -6.646 -2.663 5.161
Cu -5.080 -3.849 2.084
Ag -5.060 -0.472 2.708
Ag -9.563 -2.224 2.879
Ag -0.577 -2.097 1.913
Sb -0.019 -3.377 -0.624
Sb 0.000 0.000 0.000
Sb -7.129 -1.997 1.576
Sb -3.012 -2.324 3.216
```

SG: P-4m2
formation energy without anion corrections: -0.468 eV/atom
DOS at the Fermi energy: 4.35 states/eV/cell

=====

no.,total magnetization (μB per formula unit)
1,0.97
2,0.00
3,0.00
4,0.00
5,0.00
6,0.00